DFT (PBE) results for BaNaTl2 after structural relaxation.

Output
- VASP energy (eV per atom) = -1.891
- ΔH_f (0 K) (meV/atom) = 102

a = 7.5286 Å, b = 7.5286 Å, c = 7.5286 Å
α = 56.84°, β = 150.77°, γ = 132.40°
Last column: magnetic moment on the atom in μB.
Fractional positions:
Na  0.0000  0.0000  0.0000  0.00
Tl  0.0000  0.2329  0.2329  0.00
Tl  0.0000  0.7671  0.7671  0.00
Ba  0.0000  0.5000  0.5000  -0.10